[1]
Below is a geometry-optimized SrTcBi2 structure, with properties calculated at the PBE level.

The space group is F-43m (No. 216) and the conventional cell measures 7.4744, 7.4744 and 7.4744 Å, with angles of 90.00, 90.00 and 90.00 degrees. Symmetry generates all atoms from Sr at (0.0000, 0.0000, 0.0000), Tc at (0.2500, 0.2500, 0.7500), Bi at (0.0000, 0.0000, 0.5000) and Bi at (0.2500, 0.2500, 0.2500).

=====

[2]
Below is a geometry-optimized SrThBi structure, with properties calculated at the PBE level.

The space group is F-43m (No. 216) and the conventional cell measures 7.7672, 7.7672 and 7.7672 Å, with angles of 90.00, 90.00 and 90.00 degrees. Symmetry generates all atoms from Sr at (0.0000, 0.0000, 0.0000), Th at (0.0000, 0.0000, 0.5000) and Bi at (0.2500, 0.2500, 0.2500).

=====

[3]
Below is a geometry-optimized SrTmBi structure, with properties calculated at the PBE level.

The space group is F-43m (No. 216) and the conventional cell measures 7.7827, 7.7827 and 7.7827 Å, with angles of 90.00, 90.00 and 90.00 degrees. Symmetry generates all atoms from Sr at (0.0000, 0.0000, 0.0000), Tm at (0.2500, 0.2500, 0.7500) and Bi at (0.0000, 0.0000, 0.5000).

=====

[4]
Below is a geometry-optimized Sr4Tm3Bi structure, with properties calculated at the PBE level.

The space group is Pm-3m (No. 221) and the conventional cell measures 6.9641, 6.9641 and 6.9641 Å, with angles of 90.00, 90.00 and 90.00 degrees. Symmetry generates all atoms from Sr at (0.0000, 0.0000, 0.0000), Sr at (0.0000, 0.5000, 0.5000), Tm at (0.0000, 0.0000, 0.5000) and Bi at (0.5000, 0.5000, 0.5000).

=====

[5]
Below is a geometry-optimized SrUBi structure, with properties calculated at the PBE level.

The space group is F-43m (No. 216) and the conventional cell measures 7.7122, 7.7122 and 7.7122 Å, with angles of 90.00, 90.00 and 90.00 degrees. Symmetry generates all atoms from Sr at (0.0000, 0.0000, 0.0000), U at (0.0000, 0.0000, 0.5000) and Bi at (0.2500, 0.2500, 0.2500).

=====

[6]
Below is a geometry-optimized SrBiW structure, with properties calculated at the PBE level.

The space group is F-43m (No. 216) and the conventional cell measures 7.4736, 7.4736 and 7.4736 Å, with angles of 90.00, 90.00 and 90.00 degrees. Symmetry generates all atoms from Sr at (0.0000, 0.0000, 0.0000), Bi at (0.2500, 0.2500, 0.7500) and W at (0.2500, 0.2500, 0.2500).

=====

[7]
Below is a geometry-optimized SrBiW structure, with properties calculated at the PBE level.

The space group is F-43m (No. 216) and the conventional cell measures 7.3110, 7.3110 and 7.3110 Å, with angles of 90.00, 90.00 and 90.00 degrees. Symmetry generates all atoms from Sr at (0.0000, 0.0000, 0.0000), Bi at (0.0000, 0.0000, 0.5000) and W at (0.2500, 0.2500, 0.7500).

=====

[8]
Below is a geometry-optimized SrZn2Bi2 structure, with properties calculated at the PBE level.

The space group is I4/mmm (No. 139) and the conventional cell measures 5.0022, 5.0022 and 11.0796 Å, with angles of 90.00, 90.00 and 90.00 degrees. Symmetry generates all atoms from Sr at (0.0000, 0.0000, 0.0000), Zn at (0.0000, 0.0000, 0.3907) and Bi at (0.0000, 0.5000, 0.2500).

=====

| no. | DFT total energy (eV per atom) | theoretical density (Mg/m³) |
| --- | --- | --- |
| 1 | -4.503 | 9.6 |
| 2 | -4.401 | 7.5 |
| 3 | -3.327 | 6.6 |
| 4 | -2.471 | 5.2 |
| 5 | -5.260 | 7.7 |
| 6 | -4.644 | 7.6 |
| 7 | -5.164 | 8.2 |
| 8 | -2.760 | 7.6 |